VASP calculation (PBE-GGA) on an optimized crystal structure of ScTlSnTe3.

Cell lengths 4.296, 9.632, 10.004 Å; angles 102.56, 90.00, 90.00 degrees
Element x y z (fractional)
Te (0.250, 0.140, 0.837)
Te (0.750, 0.427, 0.142)
Te (0.250, 0.659, 0.456)
Te (0.750, 0.341, 0.544)
Te (0.750, 0.860, 0.163)
Te (0.250, 0.573, 0.858)
Sc (0.750, 0.361, 0.844)
Sc (0.250, 0.639, 0.156)
Tl (0.750, 0.819, 0.798)
Tl (0.250, 0.181, 0.202)
Sn (0.750, 0.869, 0.457)
Sn (0.250, 0.131, 0.543)

Computed properties:
E_form (uncorrected), eV/atom: -0.678
DOS(E_F), states/eV per cell: 0.02